Compound: AlRh
Source: Alexandria via LeMat-Bulk
Functional: PBE
Structure: relaxed

abc: 3.0030 3.0030 3.0030
angles: 90.00 90.00 90.00
Positions (direct):
Rh (0.5000, 0.5000, 0.5000)
Al (0.0000, 0.0000, 0.0000)

Computed properties:
- Calculated total energy: -6.637 eV/atom
- Total magnetic moment: 0.00 μB/cell
- Density: 7.964 g/cm³



Compound: CaCd2IO6
Source: Alexandria via LeMat-Bulk
Functional: PBE
Structure: relaxed

abc: 5.7356 5.7355 5.9875
angles: 61.38 61.38 60.00
Site moments in Bohr magnetons follow the coordinates.
Positions (direct):
Ca (0.8098, 0.8098, 0.5705)  0.02
Cd (0.5397, 0.5397, 0.3811)  0.01
Cd (0.0274, 0.0274, 0.9178)  0.00
I (0.3210, 0.3210, 0.0371)  0.09
O (0.5770, 0.2097, 0.2489)  0.12
O (0.2098, 0.9643, 0.2489)  0.12
O (0.9643, 0.5770, 0.2489)  0.12
O (0.4188, 0.6683, 0.7874)  0.06
O (0.6683, 0.1256, 0.7873)  0.06
O (0.1256, 0.4188, 0.7873)  0.06

Computed properties:
- Calculated total energy: -4.681 eV/atom
- Total magnetic moment: 0.76 μB/cell
- Density: 5.700 g/cm³
- E_form (uncorrected): -1.17 eV per atom



Compound: MgPPd6
Source: Alexandria via LeMat-Bulk
Functional: PBE
Structure: relaxed

abc: 7.6863 6.6189 5.0847
angles: 49.51 40.95 54.74
Positions (direct):
Mg (0.5000, 0.5000, 0.5000)
P (0.0000, 0.0000, 0.0000)
Pd (0.0666, 0.3944, 0.7650)
Pd (0.7739, 0.9348, 0.6841)
Pd (0.6061, 0.2266, 0.1018)
Pd (0.2261, 0.0652, 0.3159)
Pd (0.9334, 0.6056, 0.2350)
Pd (0.3939, 0.7734, 0.8982)

Computed properties:
- Calculated total energy: -5.207 eV/atom
- Total magnetic moment: 0.00 μB/cell
- Density: 9.074 g/cm³



Compound: CdInTeI
Source: Alexandria via LeMat-Bulk
Functional: PBE
Structure: relaxed

abc: 4.3882 4.3882 9.5729
angles: 90.04 90.04 60.01
Positions (direct):
Cd (0.2391, 0.2391, 0.4842)
In (0.2393, 0.2393, 0.1963)
Te (0.5725, 0.5725, 0.0510)
I (0.9061, 0.9061, 0.6525)

Computed properties:
- Calculated total energy: -2.467 eV/atom
- Total magnetic moment: 0.00 μB/cell
- Density: 5.010 g/cm³
- E_form (uncorrected): -0.38 eV per atom



Compound: Na2CdNi
Source: Alexandria via LeMat-Bulk
Functional: PBE
Structure: relaxed

abc: 3.9411 3.9411 11.0592
angles: 79.74 79.74 90.00
Positions (direct):
Ni (0.5000, 0.5000, 0.0000)
Ni (0.2500, 0.7500, 0.5000)
Na (0.6138, 0.1250, 0.2500)
Na (0.1362, 0.6250, 0.2500)
Na (0.3750, 0.3862, 0.7500)
Na (0.8750, 0.8638, 0.7500)
Cd (0.0000, 0.0000, 0.0000)
Cd (0.7500, 0.2500, 0.5000)

Computed properties:
- Calculated total energy: -1.977 eV/atom
- Total magnetic moment: 0.00 μB/cell
- Density: 4.337 g/cm³



Compound: Ac3AgP2Pt9
Source: Alexandria via LeMat-Bulk
Functional: PBE
Structure: relaxed

abc: 7.3652 7.3652 6.9368
angles: 90.00 90.00 120.00
Positions (direct):
Ac (0.3333, 0.6667, 0.6630)
Ac (0.0000, 0.0000, 0.0000)
Ac (0.6667, 0.3333, 0.3370)
Ag (0.0000, 0.0000, 0.5000)
P (0.3333, 0.6667, 0.1365)
P (0.6667, 0.3333, 0.8635)
Pt (0.8181, 0.1819, 0.6799)
Pt (0.8181, 0.6362, 0.6799)
Pt (0.3638, 0.1819, 0.6799)
Pt (0.6362, 0.8181, 0.3201)
Pt (0.1819, 0.3638, 0.3201)
Pt (0.1819, 0.8181, 0.3201)
Pt (0.5000, 0.0000, 0.0000)
Pt (0.0000, 0.5000, 0.0000)
Pt (0.5000, 0.5000, 0.0000)

Computed properties:
- Calculated total energy: -6.010 eV/atom
- Total magnetic moment: 0.00 μB/cell
- Density: 13.282 g/cm³



Compound: Sr3P4Pt
Source: Alexandria via LeMat-Bulk
Functional: PBE
Structure: relaxed

abc: 4.7049 5.4912 8.4276
angles: 109.01 106.21 90.00
Positions (direct):
Sr (0.8109, 0.8109, 0.6219)
Sr (0.1891, 0.1891, 0.3781)
Sr (0.0000, 0.5000, 0.0000)
Pt (0.5000, 0.0000, 0.0000)
P (0.6185, 0.8243, 0.2371)
P (0.3815, 0.1757, 0.7629)
P (0.3815, 0.5872, 0.7629)
P (0.6185, 0.4128, 0.2371)

Computed properties:
- Calculated total energy: -5.049 eV/atom
- Total magnetic moment: 0.00 μB/cell
- Density: 4.912 g/cm³



Compound: LaNbPS2
Source: Alexandria via LeMat-Bulk
Functional: PBE
Structure: relaxed

abc: 4.7774 4.7774 4.9054
angles: 90.00 90.00 90.00
Positions (direct):
P (0.0000, 0.0000, 0.5000)
Nb (0.0000, 0.0000, 0.0000)
S (0.0000, 0.5000, 0.0000)
S (0.5000, 0.0000, 0.0000)
La (0.5000, 0.5000, 0.5000)

Computed properties:
- ΔE to the lowest computed polymorph: 0.000 eV per atom
- Calculated total energy: -6.789 eV/atom
- Total magnetic moment: 0.00 μB/cell
- Density: 4.849 g/cm³
- E_form (uncorrected): -1.06 eV per atom



Compound: BaAgHgAs2
Source: Alexandria via LeMat-Bulk
Functional: PBE
Structure: relaxed

abc: 5.9515 6.3400 5.9515
angles: 90.00 90.00 90.00
Site moments in Bohr magnetons follow the coordinates.
Positions (direct):
As (0.0000, 0.0000, 0.5000)  0.23
As (0.5000, 0.0000, 0.0000)  0.09
Hg (0.0000, 0.5000, 0.0000)  0.00
Ag (0.5000, 0.5000, 0.5000)  -0.01
Ba (0.0000, 0.0000, 0.0000)  0.03

Computed properties:
- Calculated total energy: -1.993 eV/atom
- Total magnetic moment: 0.68 μB/cell
- Density: 4.404 g/cm³



Compound: VSn2Pt2
Source: Alexandria via LeMat-Bulk
Functional: PBE
Structure: relaxed

abc: 7.6075 7.6075 3.2292
angles: 90.00 90.00 90.00
Site moments in Bohr magnetons follow the coordinates.
Positions (direct):
Sn (0.3459, 0.8459, 0.0000)  -0.02
Sn (0.8459, 0.6541, 0.0000)  -0.02
Sn (0.6541, 0.1541, 0.0000)  -0.02
Sn (0.1541, 0.3459, 0.0000)  -0.02
Pt (0.1452, 0.6452, 0.5000)  -0.02
Pt (0.6452, 0.8548, 0.5000)  -0.02
Pt (0.8548, 0.3548, 0.5000)  -0.02
Pt (0.3548, 0.1452, 0.5000)  -0.02
V (0.0000, 0.0000, 0.0000)  0.85
V (0.5000, 0.5000, 0.0000)  0.85

Computed properties:
- ΔE to the lowest computed polymorph: 0.000 eV per atom
- Calculated total energy: -5.830 eV/atom
- Total magnetic moment: 1.75 μB/cell
- Density: 12.058 g/cm³



Compound: Tl4Hg2H
Source: Alexandria via LeMat-Bulk
Functional: PBE
Structure: relaxed

abc: 4.7692 4.7692 9.0450
angles: 105.29 105.29 90.00
Positions (direct):
H (0.0000, 0.0000, 0.0000)
Tl (0.8305, 0.8305, 0.6609)
Tl (0.1695, 0.1695, 0.3391)
Tl (0.0000, 0.5000, 0.0000)
Tl (0.5000, 0.0000, 0.0000)
Hg (0.6445, 0.6445, 0.2890)
Hg (0.3555, 0.3555, 0.7110)

Computed properties:
- Calculated total energy: -1.777 eV/atom
- Total magnetic moment: 0.00 μB/cell
- Density: 10.610 g/cm³



Compound: SmPuCoTc
Source: Alexandria via LeMat-Bulk
Functional: PBE
Structure: relaxed

abc: 4.8104 4.8104 4.8104
angles: 60.00 60.00 60.00
Site moments in Bohr magnetons follow the coordinates.
Positions (direct):
Co (0.5000, 0.5000, 0.5000)  -1.28
Tc (0.0000, 0.0000, 0.0000)  -0.79
Sm (0.2500, 0.2500, 0.2500)  0.07
Pu (0.7500, 0.7500, 0.7500)  4.95

Computed properties:
- Calculated total energy: -9.014 eV/atom
- Total magnetic moment: 3.18 μB/cell
- Density: 11.631 g/cm³



Compound: KV2AsRh
Source: Alexandria via LeMat-Bulk
Functional: PBE
Structure: relaxed

abc: 4.7001 4.7823 4.7001
angles: 90.00 90.00 90.00
Site moments in Bohr magnetons follow the coordinates.
Positions (direct):
As (0.0000, 0.0000, 0.0000)  0.01
Rh (0.0000, 0.5000, 0.0000)  0.10
K (0.5000, 0.5000, 0.5000)  0.00
V (0.0000, 0.0000, 0.5000)  -0.19
V (0.5000, 0.0000, 0.0000)  -0.04

Computed properties:
- Calculated total energy: -5.416 eV/atom
- Total magnetic moment: 0.22 μB/cell
- Density: 5.011 g/cm³



Compound: K5Rb7
Source: Alexandria via LeMat-Bulk
Functional: PBE
Structure: relaxed

abc: 7.9225 8.0971 19.4823
angles: 107.24 90.00 119.29
Positions (direct):
K (0.1431, 0.2862, 0.4505)
K (0.8569, 0.7138, 0.5495)
K (0.3301, 0.6602, 0.2169)
K (0.6699, 0.3398, 0.7831)
K (0.0000, 0.0000, 0.0000)
Rb (0.2892, 0.5784, 0.6923)
Rb (0.7108, 0.4216, 0.3077)
Rb (0.9987, 0.9975, 0.2178)
Rb (0.0013, 0.0025, 0.7822)
Rb (0.6751, 0.3503, 0.0399)
Rb (0.5000, 0.0000, 0.5000)
Rb (0.3249, 0.6497, 0.9601)

Computed properties:
- ΔE to the lowest computed polymorph: 0.036 eV per atom
- Calculated total energy: -0.982 eV/atom
- Total magnetic moment: 0.00 μB/cell
- Density: 1.286 g/cm³



Compound: Pd2Pt2Pb7
Source: Alexandria via LeMat-Bulk
Functional: PBE
Structure: relaxed

abc: 6.8376 6.7375 6.7375
angles: 85.64 90.00 90.00
Positions (direct):
Pd (0.5000, 0.2515, 0.7485)
Pd (0.5000, 0.7485, 0.2515)
Pt (0.0000, 0.2702, 0.2702)
Pt (0.0000, 0.7298, 0.7298)
Pb (0.2608, 0.0000, 0.5000)
Pb (0.7392, 0.5000, 0.0000)
Pb (0.7392, 0.0000, 0.5000)
Pb (0.2608, 0.5000, 0.0000)
Pb (0.0000, 0.0000, 0.0000)
Pb (0.7499, 0.5000, 0.5000)
Pb (0.2501, 0.5000, 0.5000)

Computed properties:
- Calculated total energy: -4.460 eV/atom
- Total magnetic moment: 0.00 μB/cell
- Density: 11.017 g/cm³



Compound: KPmReO6
Source: Alexandria via LeMat-Bulk
Functional: PBE
Structure: relaxed

abc: 5.8572 5.8574 5.7159
angles: 90.84 89.17 57.30
Site moments in Bohr magnetons follow the coordinates.
Positions (direct):
K (0.0006, 0.0007, 0.0000)  0.00
Pm (0.6660, 0.6660, 0.5001)  0.02
Re (0.3454, 0.3455, 0.4999)  -0.06
O (0.0542, 0.3597, 0.3064)  0.33
O (0.3596, 0.0542, 0.6936)  0.33
O (0.6037, 0.3421, 0.6822)  0.00
O (0.0510, 0.5771, 0.7000)  0.11
O (0.3420, 0.6038, 0.3177)  0.00
O (0.5772, 0.0510, 0.3001)  0.11

Computed properties:
- Calculated total energy: -7.278 eV/atom
- Total magnetic moment: 1.01 μB/cell
- Density: 4.694 g/cm³
- E_form (uncorrected): -1.94 eV per atom



Compound: LiCd2MoC
Source: Alexandria via LeMat-Bulk
Functional: PBE
Structure: relaxed

abc: 5.4001 3.9754 5.4001
angles: 90.00 90.00 90.00
Positions (direct):
Mo (0.0000, 0.0000, 0.0000)
Li (0.5000, 0.5000, 0.5000)
C (0.0000, 0.5000, 0.0000)
Cd (0.0000, 0.0000, 0.5000)
Cd (0.5000, 0.0000, 0.0000)

Computed properties:
- Calculated total energy: -3.888 eV/atom
- Total magnetic moment: 0.00 μB/cell
- Density: 4.866 g/cm³



Compound: Ho6Tm2Zn
Source: Alexandria via LeMat-Bulk
Functional: PBE
Structure: relaxed

abc: 5.2785 9.9416 9.9736
angles: 90.00 90.00 90.00
Positions (direct):
Ho (0.0000, 0.0398, 0.1850)
Ho (0.0000, 0.6848, 0.5442)
Ho (0.0000, 0.6232, 0.8792)
Ho (0.5000, 0.1232, 0.6208)
Ho (0.5000, 0.1848, 0.9558)
Ho (0.5000, 0.5398, 0.3150)
Ho (0.0000, 0.9602, 0.8150)
Ho (0.0000, 0.3152, 0.4558)
Ho (0.0000, 0.3768, 0.1208)
Ho (0.5000, 0.8768, 0.3792)
Ho (0.5000, 0.8152, 0.0442)
Ho (0.5000, 0.4602, 0.6850)
Tm (0.0000, 0.2868, 0.7825)
Tm (0.5000, 0.7869, 0.7175)
Tm (0.5000, 0.2131, 0.2825)
Tm (0.0000, 0.7131, 0.2175)
Zn (0.5000, 0.5000, 0.0000)
Zn (0.0000, 0.0000, 0.5000)

Computed properties:
- Calculated total energy: -4.166 eV/atom
- Total magnetic moment: 0.00 μB/cell
- Density: 8.838 g/cm³



Compound: MgPtAu6
Source: Alexandria via LeMat-Bulk
Functional: PBE
Structure: relaxed

abc: 4.1120 4.1100 8.7991
angles: 76.49 76.67 90.00
Positions (direct):
Mg (0.0000, 0.0000, 0.0000)
Pt (0.5000, 0.5000, 0.0000)
Au (0.7461, 0.7465, 0.5070)
Au (0.6202, 0.1206, 0.7589)
Au (0.1199, 0.6205, 0.7589)
Au (0.3798, 0.8794, 0.2411)
Au (0.2539, 0.2535, 0.4930)
Au (0.8801, 0.3795, 0.2411)

Computed properties:
- Calculated total energy: -3.638 eV/atom
- Total magnetic moment: 0.00 μB/cell
- Density: 16.563 g/cm³



Compound: Ho2Er6Tm
Source: Alexandria via LeMat-Bulk
Functional: PBE
Structure: relaxed

abc: 4.9552 10.4940 10.4936
angles: 90.00 90.00 90.00
Positions (direct):
Ho (0.0002, 0.3336, 0.8336)
Ho (0.4998, 0.8337, 0.6663)
Ho (0.5002, 0.1663, 0.3337)
Ho (0.9998, 0.6664, 0.1664)
Er (0.0001, 0.0001, 0.1668)
Er (0.9998, 0.6667, 0.5001)
Er (0.9999, 0.6667, 0.8332)
Er (0.5001, 0.1667, 0.6667)
Er (0.5002, 0.1667, 0.9999)
Er (0.4999, 0.5001, 0.3333)
Er (0.9999, 0.9999, 0.8332)
Er (0.0002, 0.3333, 0.4999)
Er (0.0001, 0.3333, 0.1668)
Er (0.4999, 0.8333, 0.3333)
Er (0.4998, 0.8333, 0.0001)
Er (0.5001, 0.4999, 0.6667)
Tm (0.5000, 0.5000, 0.0000)
Tm (0.0000, 0.0000, 0.5000)

Computed properties:
- Calculated total energy: -4.532 eV/atom
- Total magnetic moment: 0.00 μB/cell
- Density: 9.144 g/cm³



Compound: Zr2VTcB
Source: Alexandria via LeMat-Bulk
Functional: PBE
Structure: relaxed

abc: 5.0130 4.3780 5.0130
angles: 90.00 90.00 90.00
Site moments in Bohr magnetons follow the coordinates.
Positions (direct):
B (0.5000, 0.5000, 0.5000)  -0.03
Tc (0.0000, 0.0000, 0.0000)  -0.12
Zr (0.0000, 0.0000, 0.5000)  0.05
Zr (0.5000, 0.0000, 0.0000)  0.10
V (0.0000, 0.5000, 0.0000)  1.02

Computed properties:
- Calculated total energy: -7.300 eV/atom
- Total magnetic moment: 1.30 μB/cell
- Density: 5.165 g/cm³



Compound: K2InBi2
Source: Alexandria via LeMat-Bulk
Functional: PBE
Structure: relaxed

abc: 5.4262 5.4262 8.3261
angles: 70.98 70.98 90.00
Positions (direct):
K (0.7500, 0.2500, 0.5000)
K (0.2500, 0.7500, 0.5000)
Bi (0.4042, 0.4042, 0.1915)
Bi (0.5958, 0.5958, 0.8085)
In (0.0000, 0.0000, 0.0000)

Computed properties:
- ΔE to the lowest computed polymorph: 0.343 eV per atom
- Calculated total energy: -2.507 eV/atom
- Total magnetic moment: 0.00 μB/cell
- Density: 4.663 g/cm³



Compound: Ba2ZnAuN
Source: Alexandria via LeMat-Bulk
Functional: PBE
Structure: relaxed

abc: 5.8106 5.8106 3.9152
angles: 90.00 90.00 90.00
Positions (direct):
Zn (0.0000, 0.0000, 0.5000)
Au (0.5000, 0.5000, 0.5000)
Ba (0.0000, 0.5000, 0.0000)
Ba (0.5000, 0.0000, 0.0000)
N (0.0000, 0.0000, 0.0000)

Computed properties:
- ΔE to the lowest computed polymorph: 0.080 eV per atom
- Calculated total energy: -3.736 eV/atom
- Total magnetic moment: 0.00 μB/cell
- Density: 6.922 g/cm³
- E_form (uncorrected): -0.39 eV per atom



Compound: Tl3AgSe4
Source: Alexandria via LeMat-Bulk
Functional: PBE
Structure: relaxed

abc: 6.4636 6.4636 6.4636
angles: 90.00 90.00 90.00
Positions (direct):
Tl (0.0000, 0.5000, 0.5000)
Tl (0.5000, 0.5000, 0.0000)
Tl (0.5000, 0.0000, 0.5000)
Se (0.2419, 0.7581, 0.7581)
Se (0.7581, 0.7581, 0.2419)
Se (0.7581, 0.2419, 0.7581)
Se (0.2419, 0.2419, 0.2419)
Ag (0.0000, 0.0000, 0.0000)

Computed properties:
- Calculated total energy: -3.166 eV/atom
- Total magnetic moment: 0.00 μB/cell
- Density: 6.376 g/cm³
- E_form (uncorrected): -0.18 eV per atom